# SbPN2O, optimized geometry, DFT PBE
data_SbPN2O
_symmetry_space_group_name_H-M 'P 4/m m m'
_symmetry_Int_Tables_number 123
_symmetry_space_group_name_Hall '-P 4 2'
_cell_length_a 4.0712
_cell_length_b 4.0712
_cell_length_c 3.8433
_cell_angle_alpha 90.00
_cell_angle_beta 90.00
_cell_angle_gamma 90.00
loop_
_atom_site_label
_atom_site_type_symbol
_atom_site_fract_x
_atom_site_fract_y
_atom_site_fract_z
_atom_site_occupancy
Sb1 Sb 0.0000 0.0000 0.0000 1
P1 P 0.5000 0.5000 0.5000 1
N1 N 0.0000 0.5000 0.0000 1
O1 O 0.0000 0.0000 0.5000 1
# Fermi-level density of states   0.4050 states/eV/atom
# Formation energy without anion corrections   1.095 eV/atom
# Calculated volume   63.70 Å³ per cell
# Magnetic moment   0.000 Bohr magnetons per cell